Here is crystalline RbNpZnCl6 at its relaxed geometry from Alexandria. Energies are from PBE.

Results
space-group type	P-31c (163)
raw total energy	-0.3295	Ry/atom
D(E_F)	0.89	states/eV/atom
magnetic moment	8.0	μB/cell
ΔE_f (raw)	-1.565	eV per atom
crystal system	trigonal

Lattice parameters (Å, degrees): 6.9227 6.9227 14.3370 90.00 90.00 120.00
Each line ends with the local moment (μB).
Atoms (fractional coordinates):
Cl (0.3881, 0.3631, 0.3524)  -0.02
Cl (0.3631, 0.9750, 0.6476)  -0.02
Cl (0.9750, 0.3631, 0.1476)  -0.02
Cl (0.3631, 0.3881, 0.8524)  -0.02
Cl (0.6119, 0.6369, 0.6476)  -0.02
Cl (0.6369, 0.6119, 0.1476)  -0.02
Cl (0.6369, 0.0250, 0.3524)  -0.02
Cl (0.0250, 0.3881, 0.6476)  -0.02
Cl (0.6119, 0.9750, 0.8524)  -0.02
Cl (0.9750, 0.6119, 0.3524)  -0.02
Cl (0.0250, 0.6369, 0.8524)  -0.02
Cl (0.3881, 0.0250, 0.1476)  -0.02
Zn (0.3333, 0.6667, 0.7500)  0.02
Zn (0.6667, 0.3333, 0.2500)  0.02
Rb (0.0000, 0.0000, 0.0000)  0.00
Rb (0.0000, 0.0000, 0.5000)  0.00
Np (0.6667, 0.3333, 0.7500)  3.96
Np (0.3333, 0.6667, 0.2500)  3.96